TiNb2GaIr | the Alexandria database | GGA-PBE | relaxed; density of states at the Fermi level = 7.193 states/eV/cell; crystal system = tetragonal; total magnetization = 0.000 Bohr magnetons per cell; symmetry = P4/mmm (123); calculated total energy = -6.799 eV per atom; energy relative to the elements = 1.186 eV per atom
1.0
4.575 0.000 0.000
0.000 4.680 0.000
0.000 0.000 4.575
Nb Ir Ga Ti
2 1 1 1
Direct
0.000 0.000 0.500 Nb
0.500 0.000 0.000 Nb
0.500 0.500 0.500 Ir
0.000 0.500 0.000 Ga
0.000 0.000 0.000 Ti